VASP calculation (PBE) on crystalline LiHoTm2Se4 at its relaxed geometry.

Values from the calculation:
- uncorrected formation energy (eV/atom) = -1.71
- total DFT energy (no corrections) (eV/cell) = -43.04
- N(E_F) (states/eV/cell) = 2.5

```
data_LiHoTm2Se4
_cell_length_a 3.997
_cell_length_b 6.955
_cell_length_c 6.949
_cell_angle_alpha 109.23
_cell_angle_beta 90.00
_cell_angle_gamma 90.00
_space_group_name_H-M_alt 'P 1'
_space_group_IT_number 1
loop_
_space_group_symop_operation_xyz
'x,y,z'
loop_
_atom_site_label
_atom_site_fract_x
_atom_site_fract_y
_atom_site_fract_z
Li1 0.500 0.500 0.000
Ho1 0.000 0.000 0.000
Tm1 0.500 0.000 0.500
Tm2 0.000 0.500 0.500
Se1 0.500 0.256 0.248
Se2 0.500 0.744 0.752
Se3 0.000 0.256 0.754
Se4 0.000 0.744 0.246
```